# Dy3Zn2Pd7

An optimized crystal structure of Dy3Zn2Pd7 (GGA-PBE, the Alexandria database).

Values from the calculation:
symmetry	Cmmm
energy relative to the elements	-727	meV per atom
DFT total energy	-5.119	eV/atom
M_tot	0.0	μB/f.u.

a b c (Å): 4.011 4.187 13.605
angles (deg): 98.85 90.00 90.00
Atoms (fractional coordinates):
Pd1 0.000 0.779 0.557
Pd2 0.500 0.077 0.154
Pd3 0.000 0.221 0.443
Pd4 0.000 0.000 0.000
Pd5 0.000 0.579 0.158
Pd6 0.500 0.923 0.846
Pd7 0.000 0.421 0.842
Dy1 0.500 0.679 0.357
Dy2 0.500 0.321 0.643
Dy3 0.500 0.500 0.000
Zn1 0.000 0.868 0.737
Zn2 0.000 0.132 0.263